Entry 1:
Computed, not measured: crystalline AlP2Au2 at its relaxed geometry at the PBE-GGA level of DFT.

Lattice parameters (Å, degrees): 3.189 11.268 11.279 90.00 90.00 90.00
Space group Cmcm (No. 63)
Asymmetric unit:
Al 0.000 0.027 0.250
P 0.000 0.297 0.045
Au 0.000 0.266 0.250
Au 0.000 0.500 0.000

Output
* E: -85.25 eV for the cell shown

Entry 2:
Computed, not measured: crystalline PaAlAu at its relaxed geometry at the PBE-GGA level of DFT.

Lattice parameters (Å, degrees): 6.800 6.800 6.800 90.00 90.00 90.00
Space group F-43m (No. 216)
Asymmetric unit:
Pa 0.000 0.000 0.000
Al 0.250 0.250 0.750
Au 0.250 0.250 0.250

Output
* total magnetization: 2.1 μB per cell
* E: -61.93 eV for the cell shown

Entry 3:
Computed, not measured: crystalline PaAlAu at its relaxed geometry at the PBE-GGA level of DFT.

Lattice parameters (Å, degrees): 6.582 6.582 6.582 90.00 90.00 90.00
Space group F-43m (No. 216)
Asymmetric unit:
Pa 0.000 0.000 0.000
Al 0.250 0.250 0.750
Au 0.000 0.000 0.500

Output
* total magnetization: 4.0 μB per cell
* E: -64.56 eV for the cell shown

Entry 4:
Computed, not measured: crystalline Pa2AlAu3 at its relaxed geometry at the PBE-GGA level of DFT.

Lattice parameters (Å, degrees): 3.247 4.734 8.207 90.00 90.00 90.00
Space group Pmm2 (No. 25)
Asymmetric unit:
Pa 0.000 0.000 0.000
Pa 0.000 0.500 0.490
Al 0.500 0.500 0.824
Au 0.500 0.000 0.333
Au 0.500 0.000 0.674
Au 0.500 0.500 0.147

Output
* total magnetization: 1.1 μB per cell
* E: -35.33 eV for the cell shown

Entry 5:
Computed, not measured: crystalline AlPb2Au at its relaxed geometry at the PBE-GGA level of DFT.

Lattice parameters (Å, degrees): 7.336 7.336 7.336 90.00 90.00 90.00
Space group F-43m (No. 216)
Asymmetric unit:
Al 0.000 0.000 0.000
Pb 0.000 0.000 0.500
Pb 0.250 0.250 0.750
Au 0.250 0.250 0.250

Output
* E: -54.89 eV for the cell shown

Entry 6:
Computed, not measured: crystalline AlPdPbAu at its relaxed geometry at the PBE-GGA level of DFT.

Lattice parameters (Å, degrees): 6.784 6.784 6.784 90.00 90.00 90.00
Space group F-43m (No. 216)
Asymmetric unit:
Al 0.000 0.000 0.000
Pd 0.250 0.250 0.750
Pb 0.000 0.000 0.500
Au 0.250 0.250 0.250

Output
* relative energy among the computed polymorphs: 0 meV/atom
* E: -65.31 eV for the cell shown

Entry 7:
Computed, not measured: crystalline AlPdAu at its relaxed geometry at the PBE-GGA level of DFT.

Lattice parameters (Å, degrees): 5.951 5.951 5.951 90.00 90.00 90.00
Space group F-43m (No. 216)
Asymmetric unit:
Al 0.000 0.000 0.000
Pd 0.250 0.250 0.250
Au 0.250 0.250 0.750

Output
* relative energy among the computed polymorphs: 0 meV/atom
* E: -54.56 eV for the cell shown

Entry 8:
Computed, not measured: crystalline AlPdAu at its relaxed geometry at the PBE-GGA level of DFT.

Lattice parameters (Å, degrees): 7.4548 7.4548 3.0145 90.00 90.00 120.00
Space group P-62m (No. 189)
Asymmetric unit:
Al 0.0000 0.6965 0.0000
Pd 0.0000 0.3684 0.5000
Au 0.0000 0.0000 0.5000
Au 0.3333 0.6667 0.0000

Output
* relative energy among the computed polymorphs: 7 meV/atom
* E: -40.85 eV for the cell shown

Entry 9:
Computed, not measured: crystalline Al2PdAu2 at its relaxed geometry at the PBE-GGA level of DFT.

Lattice parameters (Å, degrees): 3.908 3.908 11.666 90.00 90.00 90.00
Space group I4/mmm (No. 139)
Asymmetric unit:
Al 0.000 0.500 0.250
Pd 0.000 0.000 0.000
Au 0.000 0.000 0.387

Output
* E: -40.53 eV for the cell shown

Entry 10:
Computed, not measured: crystalline PrAl5PdAu at its relaxed geometry at the PBE-GGA level of DFT.

Lattice parameters (Å, degrees): 4.127 7.355 9.968 90.00 90.00 90.00
Space group Imm2 (No. 44)
Asymmetric unit:
Pr 0.000 0.000 0.000
Al 0.000 0.183 0.352
Al 0.000 0.193 0.642
Al 0.000 0.500 0.997
Pd 0.000 0.500 0.755
Au 0.000 0.500 0.248

Output
* total magnetization: 0.0 μB per cell
* E: -73.41 eV for the cell shown

Entry 11:
Computed, not measured: crystalline PrAl2PdAu at its relaxed geometry at the PBE-GGA level of DFT.

Lattice parameters (Å, degrees): 4.400 4.400 10.403 90.00 90.00 90.00
Space group P4/nmm (No. 129, origin choice 2)
Asymmetric unit:
Pr 0.250 0.250 0.247
Al 0.250 0.250 0.881
Al 0.250 0.750 0.500
Pd 0.250 0.750 0.000
Au 0.250 0.250 0.636

Output
* relative energy among the computed polymorphs: 0 meV/atom
* total magnetization: 0.0 μB per cell
* E: -49.61 eV for the cell shown

Entry 12:
Computed, not measured: crystalline PrAl2PdAu at its relaxed geometry at the PBE-GGA level of DFT.

Lattice parameters (Å, degrees): 4.429 4.429 10.298 90.00 90.00 90.00
Space group P4/nmm (No. 129, origin choice 2)
Asymmetric unit:
Pr 0.250 0.250 0.247
Al 0.250 0.250 0.637
Al 0.250 0.750 0.000
Pd 0.250 0.250 0.877
Au 0.250 0.750 0.500

Output
* relative energy among the computed polymorphs: 27 meV/atom
* total magnetization: 0.0 μB per cell
* E: -49.33 eV for the cell shown